A geometry-optimized CrPtOF2 structure, computed with PBEsol.

Cell: 4.307 4.307 3.832 Å, 90.00 90.00 90.00°
Space group P4/mmm (No. 123)
Inequivalent atoms, fractional coordinates:
Cr1 0.000 0.000 0.000 [1 per cell]
Pt1 0.500 0.500 0.500 [1 per cell]
O1 0.500 0.500 0.000 [1 per cell]
F1 0.000 0.500 0.500 [2 per cell]

Results
Energy relative to the elements, uncorrected in meV per atom: -279



A geometry-optimized Be2HgBr structure, computed with PBEsol.

Cell: 3.343 3.473 6.310 Å, 90.00 90.00 90.00°
Space group Pmmm (No. 47)
Inequivalent atoms, fractional coordinates:
Be1 0.000 0.000 0.000 [1 per cell]
Be2 0.000 0.500 0.500 [1 per cell]
Hg1 0.500 0.000 0.500 [1 per cell]
Br1 0.500 0.500 0.000 [1 per cell]

Results
Energy relative to the lowest polymorph listed for this composition in meV/atom: 104
Energy relative to the elements, uncorrected in meV per atom: 576



A geometry-optimized BaCd2Sb structure, computed with PBEsol.

Cell: 4.9340 4.9340 17.4999 Å, 90.00 90.00 120.00°
Space group R-3m (No. 166, hexagonal axes)
Inequivalent atoms, fractional coordinates:
Ba1 0.0000 0.0000 0.0000 [3 per cell]
Cd1 0.0000 0.0000 0.2250 [6 per cell]
Sb1 0.0000 0.0000 0.5000 [3 per cell]

Results
Energy relative to the elements, uncorrected in meV per atom: -319



Theoretical density list, top to bottom, in g/cm3: 7.03 6.77 6.53